1.
ThTl2Se3 (PBE-GGA, optimized geometry); energy relative to the elements, uncorrected = -1.12 eV per atom; SG = C2/m, No. 12; uncorrected energy = -4.89 eV/atom; M_tot = 0.00 μB/f.u.; crystal system = monoclinic
1.0
-2.163 -6.607 -3.189
7.008 0.604 3.004
-4.268 -0.457 6.852
Th Tl Se
2 4 6
Direct
0.001 0.999 0.000
0.665 0.335 0.000
0.833 0.167 0.500
0.333 0.667 0.000
0.177 0.823 0.500
0.489 0.511 0.500
0.633 0.967 0.793
0.033 0.367 0.207
0.888 0.593 0.781
0.260 0.221 0.781
0.407 0.112 0.219
0.779 0.740 0.219

---

2.
Tm2ThTl3Se6 (PBE-GGA, optimized geometry); energy relative to the elements, uncorrected = -1.29 eV per atom; SG = C2/m, No. 12; uncorrected energy = -4.99 eV/atom; M_tot = 0.00 μB/f.u.; crystal system = monoclinic
1.0
-0.883 -6.360 3.175
2.454 0.338 -6.721
7.191 2.357 4.021
Tm Th Tl Se
2 1 3 6
Direct
0.333 0.667 0.000
0.667 0.333 0.000
0.000 0.000 0.000
0.168 0.832 0.500
0.832 0.168 0.500
0.500 0.500 0.500
0.935 0.594 0.806
0.724 0.724 0.194
0.065 0.406 0.194
0.594 0.935 0.806
0.276 0.276 0.806
0.406 0.065 0.194

---

3.
ThUTl2Se6 (PBE-GGA, optimized geometry); energy relative to the elements, uncorrected = -0.98 eV per atom; SG = P2_1/c, No. 14; uncorrected energy = -5.41 eV/atom; M_tot = 0.00 μB/f.u.; crystal system = monoclinic
1.0
-6.891 3.114 -0.040
-2.125 -4.776 -5.729
-3.364 -7.254 7.295
Th U Tl Se
2 2 4 12
Direct
0.500 0.000 0.000
0.000 0.500 0.500
0.500 0.000 0.500
0.000 0.500 0.000
0.016 0.939 0.253
0.516 0.561 0.753
0.984 0.061 0.747
0.484 0.439 0.247
0.287 0.696 0.046
0.787 0.804 0.546
0.713 0.304 0.954
0.213 0.196 0.454
0.308 0.713 0.454
0.808 0.787 0.954
0.692 0.287 0.546
0.192 0.213 0.046
0.910 0.514 0.241
0.410 0.986 0.741
0.090 0.486 0.759
0.590 0.014 0.259

---

4.
Y2ThTl3Se6 (PBE-GGA, optimized geometry); energy relative to the elements, uncorrected = -1.31 eV per atom; SG = C2/m, No. 12; uncorrected energy = -5.34 eV/atom; M_tot = 0.00 μB/f.u.; crystal system = monoclinic
1.0
-1.434 -3.753 -6.035
-3.998 -1.052 5.956
-3.199 7.296 -2.327
Y Th Tl Se
2 1 3 6
Direct
0.333 0.667 0.000
0.667 0.333 0.000
0.000 0.000 0.000
0.168 0.832 0.500
0.832 0.168 0.500
0.500 0.500 0.500
0.931 0.595 0.794
0.732 0.732 0.206
0.069 0.405 0.206
0.595 0.931 0.794
0.268 0.268 0.794
0.405 0.069 0.206

---

5.
Tm2ThSe3 (PBE-GGA, optimized geometry); energy relative to the elements, uncorrected = -1.59 eV per atom; SG = Immm, No. 71; uncorrected energy = -6.06 eV/atom; M_tot = 0.00 μB/f.u.; crystal system = orthorhombic
1.0
-3.451 0.360 -1.947
-1.842 -4.976 2.345
0.240 5.485 4.653
Tm Th Se
2 1 3
Direct
0.659 0.159 0.317
0.341 0.841 0.683
0.000 0.500 0.000
0.320 0.320 0.640
0.000 0.000 0.000
0.680 0.680 0.360

---

6.
Tm2ThSe (PBE-GGA, optimized geometry); energy relative to the elements, uncorrected = -0.75 eV per atom; SG = R3m, No. 160; uncorrected energy = -5.71 eV/atom; M_tot = 0.00 μB/f.u.; crystal system = trigonal
1.0
-3.167 1.744 0.752
-3.009 -1.942 0.903
0.390 0.416 9.750
Tm Th Se
2 1 1
Direct
0.065 0.065 0.804
0.268 0.268 0.196
0.500 0.500 0.501
0.667 0.667 0.000